VASP calculation (PBE-GGA) on an optimized crystal structure of Be2AlOs.

Computed properties:
Total moment (μB per cell): 0.0
SG: I-42d
DFT formation energy (eV/atom): 0.393

Cell: 5.158 5.158 5.158 Å, 103.06 103.06 123.23°
Sites, in units of the cell vectors:
1 Be 0.105 0.625 0.980
2 Be 0.375 0.355 0.480
3 Be 0.645 0.125 0.020
4 Be 0.875 0.895 0.520
5 Al 0.250 0.750 0.500
6 Al 0.500 0.500 0.000
7 Os 0.000 0.000 0.000
8 Os 0.750 0.250 0.500